Compound: TcMo2N
Source: Alexandria
Functional: GGA-PBE
Structure: optimized geometry

Lattice parameters (Å, degrees): 2.740 2.740 6.722 90.00 90.00 90.00
Positions (direct):
Tc 0.500 0.500 0.500
Mo 0.000 0.000 0.800
N 0.500 0.500 0.000
Mo 0.000 0.000 0.200

Calculated values
SG	P4/mmm
E_form (uncorrected)	0.85	eV/f.u.
electronic total energy	-9.877	eV per atom

=====

Compound: TcMoN2
Source: Alexandria
Functional: GGA-PBE
Structure: optimized geometry

Lattice parameters (Å, degrees): 3.814 3.814 3.814 60.00 60.00 60.00
Positions (direct):
N 0.750 0.750 0.750
Tc 0.500 0.500 0.500
N 0.250 0.250 0.250
Mo 0.000 0.000 0.000

Calculated values
SG	Fm-3m
polymorph energy (0 for the lowest one)	2.23	eV/f.u.
E_form (uncorrected)	2.32	eV/f.u.
electronic total energy	-8.883	eV per atom

=====

Compound: TcMoN2
Source: Alexandria
Functional: GGA-PBE
Structure: optimized geometry

Lattice parameters (Å, degrees): 6.802 6.802 6.802 24.13 24.13 24.13
Positions (direct):
Tc 0.000 0.000 0.000
N 0.900 0.900 0.900
Mo 0.500 0.500 0.500
N 0.100 0.100 0.100

Calculated values
SG	R-3m
polymorph energy (0 for the lowest one)	0.58	eV/f.u.
E_form (uncorrected)	0.67	eV/f.u.
electronic total energy	-9.294	eV per atom

=====

Compound: TcMoN
Source: Alexandria
Functional: GGA-PBE
Structure: optimized geometry

Lattice parameters (Å, degrees): 2.877 5.143 9.624 90.00 90.00 90.00
Positions (direct):
Tc 0.750 0.716 0.011
Mo 0.750 0.405 0.245
Mo 0.250 0.905 0.255
Tc 0.750 0.784 0.511
N 0.750 0.087 0.120
N 0.250 0.913 0.880
N 0.750 0.413 0.620
Mo 0.750 0.095 0.745
N 0.250 0.587 0.380
Tc 0.250 0.284 0.989
Tc 0.250 0.216 0.489
Mo 0.250 0.595 0.755

Calculated values
SG	Pnma
polymorph energy (0 for the lowest one)	0.00	eV/f.u.
E_form (uncorrected)	-0.37	eV/f.u.
electronic total energy	-9.964	eV per atom

=====

Compound: TcMoN2
Source: Alexandria
Functional: GGA-PBE
Structure: optimized geometry

Lattice parameters (Å, degrees): 4.628 4.628 5.667 65.90 65.90 90.00
Positions (direct):
Tc 0.750 0.250 0.500
N 0.625 0.125 0.250
Mo 0.250 0.750 0.500
N 0.375 0.375 0.750
Tc 0.000 0.000 0.000
N 0.875 0.875 0.750
N 0.125 0.625 0.250
Mo 0.500 0.500 0.000

Calculated values
SG	I-42d
polymorph energy (0 for the lowest one)	0.00	eV/f.u.
E_form (uncorrected)	0.09	eV/f.u.
electronic total energy	-9.441	eV per atom

=====

Compound: TcMo2N
Source: Alexandria
Functional: GGA-PBE
Structure: optimized geometry

Lattice parameters (Å, degrees): 2.885 2.885 7.340 78.67 78.67 60.00
Positions (direct):
Mo 0.270 0.270 0.191
Tc 0.501 0.501 0.498
Mo 0.063 0.063 0.810
N 0.666 0.666 0.002

Calculated values
SG	R3m
E_form (uncorrected)	-0.33	eV/f.u.
electronic total energy	-10.172	eV per atom

=====

Compound: TcMo2N
Source: Alexandria
Functional: GGA-PBE
Structure: optimized geometry

Lattice parameters (Å, degrees): 5.377 5.377 5.871 62.75 62.75 90.00
Positions (direct):
Mo 0.545 0.125 0.250
Tc 0.750 0.250 0.500
N 0.500 0.500 0.000
N 0.250 0.750 0.500
Tc 0.000 0.000 0.000
Mo 0.205 0.625 0.250
Mo 0.375 0.455 0.750
Mo 0.875 0.795 0.750

Calculated values
SG	I-42d
E_form (uncorrected)	1.65	eV/f.u.
electronic total energy	-9.675	eV per atom

=====

Compound: TcMoN2
Source: Alexandria
Functional: GGA-PBE
Structure: optimized geometry

Lattice parameters (Å, degrees): 2.895 2.895 5.921 75.85 75.85 60.00
Each line ends with the local moment (μB).
Positions (direct):
N 0.246 0.246 0.263  -0.01
N 0.079 0.079 0.764  0.01
Tc 0.507 0.507 0.479  0.28
Mo 0.669 0.669 0.994  0.05

Calculated values
SG	R3m
polymorph energy (0 for the lowest one)	0.41	eV/f.u.
E_form (uncorrected)	0.49	eV/f.u.
electronic total energy	-9.339	eV per atom

=====

Compound: TcMo2N
Source: Alexandria
Functional: GGA-PBE
Structure: optimized geometry

Lattice parameters (Å, degrees): 2.828 2.828 7.914 79.71 79.71 60.00
Positions (direct):
Mo 0.895 0.895 0.315
N 0.500 0.500 0.500
Tc 0.000 0.000 0.000
Mo 0.105 0.105 0.685

Calculated values
SG	R-3m
E_form (uncorrected)	1.28	eV/f.u.
electronic total energy	-9.768	eV per atom

=====

Compound: TcMoN3
Source: Alexandria
Functional: GGA-PBE
Structure: optimized geometry

Lattice parameters (Å, degrees): 3.886 3.886 3.886 90.00 90.00 90.00
Positions (direct):
N 0.500 0.000 0.000
N 0.000 0.500 0.000
Mo 0.000 0.000 0.000
N 0.000 0.000 0.500
Tc 0.500 0.500 0.500

Calculated values
SG	Pm-3m
E_form (uncorrected)	5.89	eV/f.u.
electronic total energy	-8.056	eV per atom

=====

Compound: TcTeMoN2
Source: Alexandria
Functional: GGA-PBE
Structure: optimized geometry

Lattice parameters (Å, degrees): 3.906 3.906 5.678 90.00 90.00 90.00
Each line ends with the local moment (μB).
Positions (direct):
Mo 0.500 0.500 0.500  2.92
Te 0.000 0.000 0.500  -0.04
Tc 0.000 0.000 0.000  0.15
N 0.000 0.500 0.000  -0.17
N 0.500 0.000 0.000  -0.17

Calculated values
SG	P4/mmm
polymorph energy (0 for the lowest one)	0.43	eV/f.u.
E_form (uncorrected)	5.18	eV/f.u.
electronic total energy	-7.162	eV per atom

=====

Compound: TcTeMoN2
Source: Alexandria
Functional: GGA-PBE
Structure: optimized geometry

Lattice parameters (Å, degrees): 3.935 3.935 5.731 90.00 90.00 90.00
Each line ends with the local moment (μB).
Positions (direct):
N 0.500 0.000 0.000  0.06
Te 0.000 0.000 0.500  0.01
Mo 0.000 0.000 0.000  -0.01
Tc 0.500 0.500 0.500  2.98
N 0.000 0.500 0.000  0.06

Calculated values
SG	P4/mmm
polymorph energy (0 for the lowest one)	0.00	eV/f.u.
E_form (uncorrected)	4.75	eV/f.u.
electronic total energy	-7.247	eV per atom

=====

Compound: Th2TcMoN6
Source: Alexandria
Functional: GGA-PBE
Structure: optimized geometry

Lattice parameters (Å, degrees): 4.014 5.640 5.640 90.00 90.00 90.00
Positions (direct):
Th 0.067 0.500 0.000
N 0.677 0.248 0.752
Th 0.067 0.000 0.500
Mo 0.614 0.000 0.000
N 0.167 0.500 0.500
N 0.677 0.248 0.248
N 0.677 0.752 0.248
Tc 0.677 0.500 0.500
N 0.147 0.000 0.000
N 0.677 0.752 0.752

Calculated values
SG	P4mm
E_form (uncorrected)	-7.99	eV/f.u.
electronic total energy	-9.398	eV per atom

=====

Compound: ZnTc2MoN
Source: Alexandria
Functional: GGA-PBE
Structure: optimized geometry

Lattice parameters (Å, degrees): 4.057 4.057 4.075 90.00 90.00 90.00
Positions (direct):
Zn 0.500 0.500 0.500
Tc 0.500 0.000 0.000
N 0.000 0.000 0.000
Tc 0.000 0.500 0.000
Mo 0.000 0.000 0.500

Calculated values
SG	P4/mmm
E_form (uncorrected)	-0.02	eV/f.u.
electronic total energy	-8.236	eV per atom

=====

Compound: Zn2TcMoN4
Source: Alexandria
Functional: GGA-PBE
Structure: optimized geometry

Lattice parameters (Å, degrees): 4.680 4.680 5.667 114.38 114.38 90.00
Each line ends with the local moment (μB).
Positions (direct):
Tc 0.000 0.000 0.000  0.43
N 0.366 0.863 0.229  0.01
Mo 0.500 0.500 0.000  0.03
Zn 0.250 0.750 0.500  0.01
N 0.863 0.366 0.229  0.01
N 0.137 0.137 0.771  0.01
N 0.634 0.634 0.771  0.01
Zn 0.750 0.250 0.500  0.01

Calculated values
SG	I-42m
E_form (uncorrected)	0.48	eV/f.u.
electronic total energy	-7.071	eV per atom

=====

Compound: TeMo2N
Source: Alexandria
Functional: GGA-PBE
Structure: optimized geometry

Lattice parameters (Å, degrees): 4.396 4.396 4.396 60.00 60.00 60.00
Positions (direct):
Te 0.500 0.500 0.500
Mo 0.750 0.750 0.750
Mo 0.250 0.250 0.250
N 0.000 0.000 0.000

Calculated values
SG	Fm-3m
polymorph energy (0 for the lowest one)	2.99	eV/f.u.
E_form (uncorrected)	4.00	eV/f.u.
electronic total energy	-7.283	eV per atom

=====

Compound: TeMoN2
Source: Alexandria
Functional: GGA-PBE
Structure: optimized geometry

Lattice parameters (Å, degrees): 6.055 6.055 6.057 60.01 60.01 90.00
Positions (direct):
N 0.374 0.125 0.250
Mo 0.500 0.500 0.000
Mo 0.250 0.750 0.500
N 0.875 0.624 0.750
N 0.375 0.626 0.750
N 0.376 0.625 0.250
Te 0.750 0.250 0.500
Te 0.000 0.000 0.000

Calculated values
SG	I-42d
E_form (uncorrected)	1.23	eV/f.u.
electronic total energy	-7.349	eV per atom

=====

Compound: TeMo3N
Source: Alexandria
Functional: GGA-PBE
Structure: optimized geometry

Lattice parameters (Å, degrees): 4.215 4.215 4.215 90.00 90.00 90.00
Each line ends with the local moment (μB).
Positions (direct):
Mo 0.000 0.500 0.000  0.33
Te 0.500 0.500 0.500  0.01
N 0.000 0.000 0.000  -0.02
Mo 0.000 0.000 0.500  0.58
Mo 0.500 0.000 0.000  0.25

Calculated values
SG	Pm-3m
polymorph energy (0 for the lowest one)	0.00	eV/f.u.
E_form (uncorrected)	0.98	eV/f.u.
electronic total energy	-8.597	eV per atom

=====

Compound: TeMo3N
Source: Alexandria
Functional: GGA-PBE
Structure: optimized geometry

Lattice parameters (Å, degrees): 4.882 4.882 4.882 90.00 90.00 90.00
Positions (direct):
Te 0.000 0.000 0.000
Mo 0.000 0.000 0.500
Mo 0.000 0.500 0.000
Mo 0.500 0.000 0.000
N 0.500 0.500 0.500

Calculated values
SG	Pm-3m
polymorph energy (0 for the lowest one)	14.49	eV/f.u.
E_form (uncorrected)	15.47	eV/f.u.
electronic total energy	-5.698	eV per atom

=====

Compound: TeMoN2
Source: Alexandria
Functional: GGA-PBE
Structure: optimized geometry

Lattice parameters (Å, degrees): 7.072 7.072 7.072 25.11 25.11 25.11
Positions (direct):
Te 0.000 0.000 0.000
N 0.890 0.890 0.890
N 0.110 0.110 0.110
Mo 0.500 0.500 0.500

Calculated values
SG	R-3m
E_form (uncorrected)	0.98	eV/f.u.
electronic total energy	-7.411	eV per atom